The following is a PBE with a Hubbard U calculation of a geometry-optimized Ba2Cr4F structure, from the Alexandria database.

E_tot ... -4.930 eV per atom
M_tot ... 19.62 Bohr magnetons per cell
Crystal system ... tetragonal

abc: 4.877 4.877 9.849
angles: 75.66 75.66 90.00
Fractional coordinates of all 7 atoms:
Cr (0.500, 0.000, 0.000)
Cr (0.000, 0.500, 0.000)
Cr (0.123, 0.123, 0.755)
Cr (0.877, 0.877, 0.245)
F (0.000, 0.000, 0.000)
Ba (0.673, 0.673, 0.655)
Ba (0.327, 0.327, 0.345)

---

The following is a PBE with a Hubbard U calculation of a geometry-optimized Ba2CrF6 structure, from the Alexandria database.

Energy relative to the lowest polymorph listed for this composition ... 0.0000 eV per atom
M_tot ... 8.00 Bohr magnetons per cell
Crystal system ... orthorhombic

abc: 8.692 8.692 6.088
angles: 90.00 90.00 139.68
Fractional coordinates of all 18 atoms:
F (0.622, 0.378, 0.500)
F (0.002, 0.502, 0.750)
F (0.804, 0.804, 0.349)
F (0.696, 0.696, 0.849)
F (0.998, 0.498, 0.250)
F (0.498, 0.998, 0.250)
F (0.878, 0.122, 0.000)
F (0.502, 0.002, 0.750)
F (0.122, 0.878, 0.000)
F (0.304, 0.304, 0.151)
F (0.196, 0.196, 0.651)
F (0.378, 0.622, 0.500)
Ba (0.654, 0.346, 0.000)
Ba (0.154, 0.846, 0.500)
Ba (0.846, 0.154, 0.500)
Ba (0.346, 0.654, 0.000)
Cr (0.500, 0.500, 0.500)
Cr (0.000, 0.000, 0.000)

---

The following is a PBE with a Hubbard U calculation of a geometry-optimized Ba2CrF6 structure, from the Alexandria database.

Energy relative to the lowest polymorph listed for this composition ... 0.0866 eV per atom
M_tot ... 8.00 Bohr magnetons per cell
Crystal system ... tetragonal

abc: 5.571 5.571 11.787
angles: 90.00 90.00 90.00
Fractional coordinates of all 18 atoms:
Cr (0.000, 0.000, 0.000)
Cr (0.500, 0.500, 0.500)
F (0.760, 0.240, 0.500)
F (0.676, 0.676, 0.351)
F (0.324, 0.324, 0.351)
F (0.240, 0.760, 0.500)
F (0.260, 0.260, 0.000)
F (0.676, 0.676, 0.649)
F (0.176, 0.824, 0.851)
F (0.824, 0.176, 0.851)
F (0.324, 0.324, 0.649)
F (0.824, 0.176, 0.149)
F (0.176, 0.824, 0.149)
F (0.740, 0.740, 0.000)
Ba (0.000, 0.000, 0.336)
Ba (0.500, 0.500, 0.836)
Ba (0.000, 0.000, 0.664)
Ba (0.500, 0.500, 0.164)

---

The following is a PBE with a Hubbard U calculation of a geometry-optimized Ba2CrF7 structure, from the Alexandria database.

E_tot ... -5.785 eV per atom
M_tot ... 6.00 Bohr magnetons per cell
Crystal system ... monoclinic

abc: 7.968 7.586 7.689
angles: 71.60 58.79 58.32
Fractional coordinates of all 20 atoms:
Cr (0.861, 0.250, 0.750)
Cr (0.139, 0.750, 0.250)
Ba (0.768, 0.411, 0.233)
Ba (0.232, 0.589, 0.767)
Ba (0.587, 0.911, 0.733)
Ba (0.413, 0.089, 0.267)
F (0.095, 0.989, 0.645)
F (0.625, 0.250, 0.750)
F (0.778, 0.154, 0.032)
F (0.794, 0.761, 0.000)
F (0.905, 0.011, 0.355)
F (0.964, 0.346, 0.468)
F (0.444, 0.261, 0.500)
F (0.036, 0.654, 0.532)
F (0.272, 0.489, 0.145)
F (0.222, 0.846, 0.968)
F (0.556, 0.739, 0.500)
F (0.375, 0.750, 0.250)
F (0.206, 0.239, 0.000)
F (0.728, 0.511, 0.855)

---

The following is a PBE with a Hubbard U calculation of a geometry-optimized BaCrF2 structure, from the Alexandria database.

Energy relative to the lowest polymorph listed for this composition ... 0.0000 eV per atom
M_tot ... 4.12 Bohr magnetons per cell
Crystal system ... trigonal

abc: 6.280 6.280 6.280
angles: 41.26 41.26 41.26
Fractional coordinates of all 4 atoms:
F (0.117, 0.117, 0.117)
F (0.883, 0.883, 0.883)
Ba (0.500, 0.500, 0.500)
Cr (0.000, 0.000, 0.000)

---

The following is a PBE with a Hubbard U calculation of a geometry-optimized Ba4CrGa2S6F4 structure, from the Alexandria database.

E_tot ... -5.355 eV per atom
M_tot ... 16.00 Bohr magnetons per cell
Crystal system ... orthorhombic

abc: 6.245 13.411 18.619
angles: 90.00 90.00 90.00
Fractional coordinates of all 68 atoms:
S (0.792, 0.719, 0.348)
S (0.711, 0.460, 0.250)
S (0.289, 0.540, 0.750)
S (0.792, 0.719, 0.152)
S (0.287, 0.031, 0.348)
S (0.291, 0.789, 0.250)
S (0.208, 0.281, 0.652)
S (0.708, 0.219, 0.348)
S (0.211, 0.040, 0.750)
S (0.789, 0.960, 0.250)
S (0.209, 0.289, 0.250)
S (0.213, 0.531, 0.348)
S (0.292, 0.781, 0.848)
S (0.709, 0.211, 0.750)
S (0.787, 0.469, 0.652)
S (0.713, 0.969, 0.848)
S (0.708, 0.219, 0.152)
S (0.287, 0.031, 0.152)
S (0.213, 0.531, 0.152)
S (0.787, 0.469, 0.848)
S (0.292, 0.781, 0.652)
S (0.713, 0.969, 0.652)
S (0.208, 0.281, 0.848)
S (0.791, 0.711, 0.750)
F (0.012, 0.875, 0.005)
F (0.012, 0.625, 0.504)
F (0.988, 0.125, 0.505)
F (0.512, 0.625, 0.505)
F (0.488, 0.375, 0.005)
F (0.488, 0.375, 0.495)
F (0.488, 0.125, 0.996)
F (0.512, 0.875, 0.496)
F (0.988, 0.125, 0.995)
F (0.988, 0.375, 0.496)
F (0.512, 0.625, 0.995)
F (0.988, 0.375, 0.004)
F (0.012, 0.875, 0.495)
F (0.012, 0.625, 0.996)
F (0.488, 0.125, 0.504)
F (0.512, 0.875, 0.004)
Cr (0.003, 0.625, 0.250)
Cr (0.503, 0.875, 0.750)
Cr (0.997, 0.375, 0.750)
Cr (0.497, 0.125, 0.250)
Ba (0.731, 0.253, 0.578)
Ba (0.256, 0.498, 0.922)
Ba (0.256, 0.498, 0.578)
Ba (0.269, 0.747, 0.422)
Ba (0.231, 0.247, 0.422)
Ba (0.731, 0.253, 0.922)
Ba (0.231, 0.247, 0.078)
Ba (0.756, 0.002, 0.078)
Ba (0.744, 0.502, 0.422)
Ba (0.769, 0.753, 0.922)
Ba (0.269, 0.747, 0.078)
Ba (0.244, 0.998, 0.578)
Ba (0.244, 0.998, 0.922)
Ba (0.744, 0.502, 0.078)
Ba (0.769, 0.753, 0.578)
Ba (0.756, 0.002, 0.422)
Ga (0.340, 0.450, 0.250)
Ga (0.163, 0.701, 0.750)
Ga (0.837, 0.299, 0.250)
Ga (0.663, 0.799, 0.250)
Ga (0.337, 0.201, 0.750)
Ga (0.660, 0.550, 0.750)
Ga (0.840, 0.050, 0.750)
Ga (0.160, 0.950, 0.250)

---

The following is a PBE with a Hubbard U calculation of a geometry-optimized BaCrH2F6 structure, from the Alexandria database.

E_tot ... -5.306 eV per atom
M_tot ... 8.00 Bohr magnetons per cell
Crystal system ... monoclinic

abc: 6.619 6.619 7.502
angles: 110.52 110.52 109.53
Fractional coordinates of all 20 atoms:
F (0.757, 0.406, 0.033)
F (0.215, 0.359, 0.219)
F (0.686, 0.964, 0.996)
F (0.036, 0.314, 0.504)
F (0.314, 0.036, 0.004)
F (0.406, 0.757, 0.533)
F (0.964, 0.686, 0.496)
F (0.243, 0.594, 0.967)
F (0.594, 0.243, 0.467)
F (0.785, 0.641, 0.781)
F (0.359, 0.215, 0.719)
F (0.641, 0.785, 0.281)
Cr (0.312, 0.688, 0.750)
Cr (0.688, 0.312, 0.250)
H (0.301, 0.538, 0.358)
H (0.462, 0.699, 0.142)
H (0.538, 0.301, 0.858)
H (0.699, 0.462, 0.642)
Ba (0.076, 0.924, 0.250)
Ba (0.924, 0.076, 0.750)

---

The following is a PBE with a Hubbard U calculation of a geometry-optimized BaHfCr2F structure, from the Alexandria database.

E_tot ... -5.622 eV per atom
M_tot ... 7.78 Bohr magnetons per cell
Crystal system ... tetragonal

abc: 4.964 4.964 4.995
angles: 90.00 90.00 90.00
Fractional coordinates of all 5 atoms:
F (0.000, 0.000, 0.000)
Cr (0.500, 0.000, 0.000)
Cr (0.000, 0.500, 0.000)
Hf (0.500, 0.500, 0.500)
Ba (0.000, 0.000, 0.500)

---

The following is a PBE with a Hubbard U calculation of a geometry-optimized BaCr2HgF structure, from the Alexandria database.

E_tot ... -3.063 eV per atom
M_tot ... 11.05 Bohr magnetons per cell
Crystal system ... tetragonal

abc: 6.441 6.725 6.441
angles: 90.00 90.00 90.00
Fractional coordinates of all 5 atoms:
Cr (0.000, 0.000, 0.500)
Cr (0.500, 0.000, 0.000)
Ba (0.000, 0.000, 0.000)
F (0.500, 0.500, 0.500)
Hg (0.000, 0.500, 0.000)

---

The following is a PBE with a Hubbard U calculation of a geometry-optimized BaCrIF4 structure, from the Alexandria database.

E_tot ... -5.308 eV per atom
M_tot ... 7.51 Bohr magnetons per cell
Crystal system ... monoclinic

abc: 8.015 8.015 6.750
angles: 75.21 75.21 58.15
Fractional coordinates of all 14 atoms:
F (0.550, 0.550, 0.133)
F (0.450, 0.450, 0.867)
F (0.875, 0.524, 0.851)
F (0.524, 0.875, 0.851)
F (0.638, 0.638, 0.525)
F (0.125, 0.476, 0.149)
F (0.362, 0.362, 0.475)
F (0.476, 0.125, 0.149)
Ba (0.750, 0.750, 0.158)
Ba (0.250, 0.250, 0.842)
I (0.999, 0.999, 0.253)
I (0.001, 0.001, 0.747)
Cr (0.399, 0.399, 0.181)
Cr (0.601, 0.601, 0.819)

---

The following is a PBE with a Hubbard U calculation of a geometry-optimized BaCrInF6 structure, from the Alexandria database.

E_tot ... -5.497 eV per atom
M_tot ... 2.98 Bohr magnetons per cell
Crystal system ... trigonal

abc: 5.864 5.864 4.743
angles: 89.99 90.00 59.99
Fractional coordinates of all 9 atoms:
F (0.490, 0.494, 0.231)
F (0.665, 0.169, 0.674)
F (0.169, 0.166, 0.673)
F (0.494, 0.016, 0.231)
F (0.165, 0.666, 0.673)
F (0.016, 0.490, 0.231)
Cr (0.333, 0.333, 0.462)
Ba (0.000, 0.000, 0.143)
In (0.667, 0.667, 0.682)

---

The following is a PBE with a Hubbard U calculation of a geometry-optimized K2BaCrF6 structure, from the Alexandria database.

E_tot ... -5.285 eV per atom
M_tot ... 8.00 Bohr magnetons per cell
Crystal system ... monoclinic

abc: 6.310 6.683 8.869
angles: 90.00 89.33 90.00
Fractional coordinates of all 20 atoms:
F (0.731, 0.326, 0.963)
F (0.106, 0.443, 0.783)
F (0.606, 0.057, 0.283)
F (0.894, 0.557, 0.217)
F (0.269, 0.674, 0.037)
F (0.313, 0.716, 0.419)
F (0.687, 0.284, 0.581)
F (0.769, 0.826, 0.537)
F (0.231, 0.174, 0.463)
F (0.813, 0.784, 0.919)
F (0.187, 0.216, 0.081)
F (0.394, 0.943, 0.717)
Cr (0.500, 0.000, 0.500)
Cr (0.000, 0.500, 0.000)
Ba (0.500, 0.000, 0.000)
Ba (0.000, 0.500, 0.500)
K (0.985, 0.052, 0.738)
K (0.515, 0.552, 0.762)
K (0.485, 0.448, 0.238)
K (0.015, 0.948, 0.262)